Density functional theory data (SCAN) for a PBEsol-optimized structure of MgSb2Mo.

For the total energy, the calculation gives -28.5287 eV per atom. The value obtained for the energy relative to the elements, uncorrected is 0.0664 eV per atom.

The structure in POSCAR format:
```
MgSb2Mo
1.0
1.7559 1.0138 8.1084
-1.7559 1.0138 8.1084
0.0000 -2.0275 8.1084
Mg Sb Mo
1 2 1
Direct
0.0000 0.0000 0.0000
0.2418 0.2418 0.2418
0.7582 0.7582 0.7582
0.5000 0.5000 0.5000
```

---

Density functional theory data (SCAN) for a PBEsol-optimized structure of MgSbMo2.

For the total energy, the calculation gives -27.6393 eV per atom. As for the energy above the lowest structure with this stoichiometry: 31 meV per atom. The value obtained for the energy relative to the elements, uncorrected is 0.3619 eV per atom.

The structure in POSCAR format:
```
MgSbMo2
1.0
-1.9673 1.9673 4.4010
1.9673 -1.9673 4.4010
1.9673 1.9673 -4.4010
Mg Sb Mo
1 1 2
Direct
0.0000 0.0000 0.0000
0.5000 0.5000 0.0000
0.2500 0.7500 0.5000
0.7500 0.2500 0.5000
```

---

Density functional theory data (SCAN) for a PBEsol-optimized structure of Mg2SbMo.

For the total energy, the calculation gives -20.2542 eV per atom. The value obtained for the energy relative to the elements, uncorrected is 0.2692 eV per atom.

The structure in POSCAR format:
```
Mg2SbMo
1.0
3.2367 0.0000 0.0000
0.0000 4.0438 0.0000
0.0000 0.0000 5.7685
Mg Sb Mo
2 1 1
Direct
0.0000 0.0000 0.2323
0.0000 0.0000 0.7677
0.5000 0.5000 0.5000
0.5000 0.5000 0.0000
```

---

Density functional theory data (SCAN) for a PBEsol-optimized structure of Mg2SbMo.

For the total energy, the calculation gives -20.3463 eV per atom. The value obtained for the energy relative to the elements, uncorrected is 0.1771 eV per atom.

The structure in POSCAR format:
```
Mg2SbMo
1.0
-1.9842 1.9842 4.7185
1.9842 -1.9842 4.7185
1.9842 1.9842 -4.7185
Mg Sb Mo
2 1 1
Direct
0.2500 0.7500 0.5000
0.7500 0.2500 0.5000
0.0000 0.0000 0.0000
0.5000 0.5000 0.0000
```

---

Density functional theory data (SCAN) for a PBEsol-optimized structure of Mg2SbMo.

For the total energy, the calculation gives -20.3511 eV per atom. The value obtained for the energy relative to the elements, uncorrected is 0.1722 eV per atom.

The structure in POSCAR format:
```
Mg2SbMo
1.0
4.2150 0.0000 0.0000
0.0000 4.2150 0.0000
0.0000 0.0000 4.1443
Mg Sb Mo
2 1 1
Direct
0.0000 0.5000 0.0000
0.5000 0.0000 0.0000
0.0000 0.0000 0.5000
0.5000 0.5000 0.5000
```

---

Density functional theory data (SCAN) for a PBEsol-optimized structure of Mg2SbMo.

For the total energy, the calculation gives -20.4737 eV per atom. The value obtained for the energy relative to the elements, uncorrected is 0.0496 eV per atom.

The structure in POSCAR format:
```
Mg2SbMo
1.0
3.5332 0.0000 0.0000
0.0000 3.5332 0.0000
0.0000 0.0000 6.0668
Mg Sb Mo
2 1 1
Direct
0.0000 0.0000 0.0000
0.5000 0.5000 0.2596
0.5000 0.5000 0.7218
0.0000 0.0000 0.5091
```

---

Density functional theory data (SCAN) for a PBEsol-optimized structure of MgSbTe2Mo.

For the total energy, the calculation gives -29.3535 eV per atom. The value obtained for the energy relative to the elements, uncorrected is 0.9709 eV per atom.

The structure in POSCAR format:
```
MgSbTe2Mo
1.0
5.3195 0.0000 0.0000
0.0000 5.3195 0.0000
0.0000 0.0000 5.1568
Mg Sb Te Mo
1 1 2 1
Direct
0.0000 0.0000 0.0000
0.0000 0.0000 0.5000
0.0000 0.5000 0.0000
0.5000 0.0000 0.0000
0.5000 0.5000 0.5000
```

---

Density functional theory data (SCAN) for a PBEsol-optimized structure of MgSc2Mo.

For the total energy, the calculation gives -17.0144 eV per atom. Its formation energy is 27 kJ/mol of formula units.

The structure in POSCAR format:
```
MgSc2Mo
1.0
3.3196 0.0000 0.0000
0.0000 3.3196 0.0000
0.0000 0.0000 7.4463
Mg Sc Mo
1 2 1
Direct
0.0000 0.0000 0.0000
0.5000 0.5000 0.2926
0.5000 0.5000 0.7074
0.0000 0.0000 0.5000
```

---

Density functional theory data (SCAN) for a PBEsol-optimized structure of MgSc2Mo.

For the total energy, the calculation gives -16.9970 eV per atom. Its formation energy is 33 kJ/mol of formula units.

The structure in POSCAR format:
```
MgSc2Mo
1.0
1.7506 -2.4038 0.0000
1.7506 2.4038 0.0000
0.0000 0.0000 9.5983
Mg Sc Mo
1 2 1
Direct
0.0000 0.0000 0.0000
0.5000 0.5000 0.2816
0.5000 0.5000 0.7184
0.0000 0.0000 0.5000
```

---

Density functional theory data (SCAN) for a PBEsol-optimized structure of MgSc2Mo.

For the total energy, the calculation gives -16.8620 eV per atom. Its formation energy is 85 kJ/mol of formula units.

The structure in POSCAR format:
```
MgSc2Mo
1.0
5.0435 -1.4815 0.0000
5.0435 1.4815 0.0000
-0.7368 0.0000 5.2701
Mg Sc Mo
1 2 1
Direct
0.0000 0.0000 0.0000
0.2459 0.2459 0.7735
0.4736 0.4736 0.4647
0.7305 0.7305 0.2826
```

---

Density functional theory data (SCAN) for a PBEsol-optimized structure of MgMoSe.

For the total energy, the calculation gives -19.2968 eV per atom. The value obtained for the energy relative to the elements, uncorrected is 0.6823 eV per atom.

The structure in POSCAR format:
```
MgMoSe
1.0
0.0000 3.0468 3.0468
3.0468 0.0000 3.0468
3.0468 3.0468 0.0000
Mg Mo Se
1 1 1
Direct
0.0000 0.0000 0.0000
0.7500 0.7500 0.7500
0.5000 0.5000 0.5000
```

---

Density functional theory data (SCAN) for a PBEsol-optimized structure of Mg2MoSe.

For the total energy, the calculation gives -16.0492 eV per atom. The value obtained for the energy relative to the elements, uncorrected is 0.1786 eV per atom.

The structure in POSCAR format:
```
Mg2MoSe
1.0
2.6420 -4.2919 0.0000
2.6420 4.2919 0.0000
0.0000 0.0000 3.0947
Mg Mo Se
2 1 1
Direct
0.0000 0.5000 0.0000
0.5000 0.0000 0.0000
0.0000 0.0000 0.5000
0.5000 0.5000 0.5000
```

---

Density functional theory data (SCAN) for a PBEsol-optimized structure of MgMoSe2.

For the total energy, the calculation gives -20.1422 eV per atom. The value obtained for the energy relative to the elements, uncorrected is -0.1383 eV per atom.

The structure in POSCAR format:
```
MgMoSe2
1.0
4.5839 0.0000 0.0000
0.0000 4.5839 0.0000
0.0000 0.0000 3.2023
Mg Mo Se
1 1 2
Direct
0.0000 0.0000 0.0000
0.5000 0.5000 0.0000
0.0000 0.5000 0.5000
0.5000 0.0000 0.5000
```

---

Density functional theory data (SCAN) for a PBEsol-optimized structure of Mg2MoSe.

For the total energy, the calculation gives -16.0670 eV per atom. The value obtained for the energy relative to the elements, uncorrected is 0.1607 eV per atom.

The structure in POSCAR format:
```
Mg2MoSe
1.0
4.3356 0.0000 0.0000
0.0000 4.3356 0.0000
0.0000 0.0000 3.7650
Mg Mo Se
2 1 1
Direct
0.0000 0.5000 0.0000
0.5000 0.0000 0.0000
0.0000 0.0000 0.5000
0.5000 0.5000 0.5000
```

---

Density functional theory data (SCAN) for a PBEsol-optimized structure of Mg2MoSe.

For the total energy, the calculation gives -16.0157 eV per atom. The value obtained for the energy relative to the elements, uncorrected is 0.2120 eV per atom.

The structure in POSCAR format:
```
Mg2MoSe
1.0
1.6788 -2.5239 0.0000
1.6788 2.5239 0.0000
0.0000 0.0000 8.9467
Mg Mo Se
2 1 1
Direct
0.0000 0.0000 0.0000
0.5000 0.5000 0.2847
0.0000 0.0000 0.5345
0.5000 0.5000 0.7369
```

---

Density functional theory data (SCAN) for a PBEsol-optimized structure of MgMoSe2.

For the total energy, the calculation gives -20.1070 eV per atom. The value obtained for the energy relative to the elements, uncorrected is -0.1030 eV per atom.

The structure in POSCAR format:
```
MgMoSe2
1.0
3.2544 0.0000 0.0000
0.0000 3.2628 0.0000
0.0000 0.0000 7.1727
Mg Mo Se
1 1 2
Direct
0.0000 0.0000 0.0000
0.0000 0.5000 0.5000
0.5000 0.5000 0.2347
0.5000 0.5000 0.7653
```

---

Density functional theory data (SCAN) for a PBEsol-optimized structure of Mg2MoSe.

For the total energy, the calculation gives -16.1461 eV per atom. The value obtained for the energy relative to the elements, uncorrected is 0.0817 eV per atom.

The structure in POSCAR format:
```
Mg2MoSe
1.0
1.8353 -2.2646 0.0000
1.8353 2.2646 0.0000
0.0000 0.0000 8.6624
Mg Mo Se
2 1 1
Direct
0.0000 0.0000 0.2430
0.0000 0.0000 0.7570
0.5000 0.5000 0.0000
0.5000 0.5000 0.5000
```

---

Density functional theory data (SCAN) for a PBEsol-optimized structure of MgSiMo2.

For the total energy, the calculation gives -21.1068 eV per atom. The value obtained for the energy relative to the elements, uncorrected is 0.0832 eV per atom.

The structure in POSCAR format:
```
MgSiMo2
1.0
3.2563 0.0000 0.0000
0.0000 3.2563 0.0000
0.0000 0.0000 5.9522
Mg Si Mo
1 1 2
Direct
0.0000 0.0000 0.0000
0.0000 0.0000 0.5000
0.5000 0.5000 0.3018
0.5000 0.5000 0.6982
```

---

Density functional theory data (SCAN) for a PBEsol-optimized structure of MgSi2Mo.

For the total energy, the calculation gives -14.4154 eV per atom. The value obtained for the energy relative to the elements, uncorrected is 0.5572 eV per atom.

The structure in POSCAR format:
```
MgSi2Mo
1.0
0.0000 3.0830 3.0830
3.0830 0.0000 3.0830
3.0830 3.0830 0.0000
Mg Si Mo
1 2 1
Direct
0.0000 0.0000 0.0000
0.2500 0.2500 0.2500
0.5000 0.5000 0.5000
0.7500 0.7500 0.7500
```

---

Density functional theory data (SCAN) for a PBEsol-optimized structure of MgSiMo.

For the total energy, the calculation gives -16.4859 eV per atom. The value obtained for the energy relative to the elements, uncorrected is 0.1390 eV per atom.

The structure in POSCAR format:
```
MgSiMo
1.0
0.0000 2.2080 6.3750
1.6952 0.0000 6.3750
1.6952 2.2080 0.0000
Mg Si Mo
1 1 1
Direct
0.0000 0.0000 0.0000
0.6801 0.6801 0.3199
0.3227 0.3227 0.6773
```